The following is a PBE calculation of a geometry-optimized BaNb2NiSe structure, from Alexandria.

**Raw formation energy**: 2.8 eV per formula unit
**Magnetization**: 0.0 μB/cell
**DOS at the Fermi energy**: 3.3 states/eV per cell
**Polymorph energy (0 for the lowest one)**: 0.0000 eV per atom
**Energy**: -5.705 eV/atom

a = 4.9908 Å, b = 4.5558 Å, c = 4.9908 Å
α = 90.00°, β = 90.00°, γ = 90.00°
Positions (direct):
Ni (0.0000, 0.5000, 0.0000)
Nb (0.0000, 0.0000, 0.5000)
Nb (0.5000, 0.0000, 0.0000)
Ba (0.5000, 0.5000, 0.5000)
Se (0.0000, 0.0000, 0.0000)